No. 1
# K3YIn2O6

A relaxed K3YIn2O6 crystal (PBE-GGA, the Alexandria database).

Cell: 5.886 10.195 6.536 Å, 90.00 107.44 90.00°
Space group C2/m (No. 12)
One atom of each set of equivalent atoms:
K 0.000 0.000 0.000 x2
K 0.000 0.331 0.000 x4
Y 0.000 0.500 0.500 x2
In 0.000 0.167 0.500 x4
O 0.223 0.000 0.689 x4
O 0.233 0.330 0.688 x8

Values from the calculation:
Crystal system: monoclinic
Magnetic moment (μB per cell): 0.0
Raw formation energy (eV per formula unit): -23.3
DOS(E_F) (states/eV/atom): 0.00
Calculated density (g cm⁻³): 4.7


No. 2
# K4Y3InO8

A relaxed K4Y3InO8 crystal (PBE-GGA, the Alexandria database).

Cell: 6.9138 6.9138 18.7831 Å, 90.00 90.00 120.00°
Space group R-3m (No. 166, hexagonal axes)
One atom of each set of equivalent atoms:
K 0.0000 0.0000 0.0000 x3
K 0.0000 0.5000 0.0000 x9
Y 0.0000 0.5000 0.5000 x9
In 0.0000 0.0000 0.5000 x3
O 0.0000 0.0000 0.2284 x6
O 0.0028 0.5014 0.2294 x18

Values from the calculation:
Crystal system: trigonal
Magnetic moment (μB per cell): 0.0
Raw formation energy (eV per formula unit): -38.9
DOS(E_F) (states/eV/atom): 0.00
Calculated density (g cm⁻³): 4.3


No. 3
# KZn2InO4

A relaxed KZn2InO4 crystal (PBE-GGA, the Alexandria database).

Cell: 5.202 5.202 8.951 Å, 90.00 90.00 90.00°
Space group I-42m (No. 121)
One atom of each set of equivalent atoms:
K 0.000 0.000 0.000 x2
Zn 0.000 0.500 0.250 x4
In 0.000 0.000 0.500 x2
O 0.213 0.213 0.654 x8

Values from the calculation:
Crystal system: tetragonal
Magnetic moment (μB per cell): 0.0
Raw formation energy (eV per formula unit): -10.8
Calculated density (g cm⁻³): 4.8


raw formation energy of number 3 (KZn2InO4)? -10.8 eV per formula unit